First-principles (GGA-PBE) data for a relaxed Nd5DyYTm2 crystal, as listed in the Alexandria database.

Unit cell a=5.6411 b=10.6135 c=10.6902 alpha=90.00 beta=90.00 gamma=105.41
With the nearest neighbours (Å) after each atom.
Sites, in units of the cell vectors:
Tm 0.8874 0.7748 0.2400  1 Dy 3.40, 7 Nd 3.54-3.79, 2 Y 3.71
Tm 0.8859 0.7717 0.8071  9 Nd 3.37-3.71, 1 Dy 3.61
Tm 0.1126 0.2252 0.7400  1 Dy 3.40, 7 Nd 3.54-3.79, 2 Y 3.71
Tm 0.1141 0.2283 0.3071  9 Nd 3.37-3.71, 1 Dy 3.61
Nd 0.5169 0.0338 0.2438  2 Y 3.23-3.38, 2 Tm 3.52, 2 Nd 3.58-3.60
Nd 0.2790 0.5580 0.3127  1 Y 3.08, 1 Tm 3.37, 2 Nd 3.41
Nd 0.7028 0.4055 0.2080  3 Nd 3.41-3.80, 1 Y 3.46, 3 Dy 3.52-3.82, 3 Tm 3.52-3.79
Nd 0.4831 0.9662 0.7438  2 Y 3.23-3.38, 2 Tm 3.52, 2 Nd 3.58-3.60
Nd 0.3849 0.7697 0.0215  6 Nd 3.58-3.88, 4 Tm 3.63-3.66, 1 Dy 3.80
Nd 0.0150 0.0300 0.0170  2 Y 3.29, 3 Tm 3.47-3.57
Nd 0.7210 0.4420 0.8127  1 Y 3.08, 1 Tm 3.37, 2 Nd 3.41
Nd 0.6151 0.2303 0.5215  6 Nd 3.58-3.88, 4 Tm 3.63-3.66, 1 Dy 3.80
Nd 0.9850 0.9700 0.5170  2 Y 3.29, 3 Tm 3.47-3.57
Nd 0.2972 0.5945 0.7080  3 Nd 3.41-3.80, 1 Y 3.46, 3 Dy 3.52-3.82, 3 Tm 3.52-3.79
Y 0.4076 0.8152 0.4622  5 Nd 3.08-3.38
Y 0.5924 0.1848 0.9622  5 Nd 3.08-3.38
Dy 0.1990 0.3981 0.0116  2 Tm 3.40-3.61, 7 Nd 3.52-3.80, 2 Y 3.61
Dy 0.8010 0.6019 0.5116  2 Tm 3.40-3.61, 7 Nd 3.52-3.80, 2 Y 3.61

Output
formation energy from the elements = 151 meV/atom
VASP energy = -4.72 eV per atom
calculated volume = 308.51 Å³/f.u.
crystal system = orthorhombic
ρ = 7.05 Mg/m³